Here is a relaxed Pr2Y6ErTm crystal from Alexandria via LeMat-Bulk. Energies are from PBE.

Unit cell a=8.7837 b=8.7837 c=9.8015 alpha=95.12 beta=95.12 gamma=117.77
Positions (direct):
Pr: 0.1935 0.2938 0.0445
Pr: 0.2938 0.1935 0.5445
Pr: 0.7062 0.8065 0.4555
Pr: 0.8065 0.7062 0.9555
Y: 0.0189 0.5772 0.1877
Y: 0.1241 0.7455 0.5572
Y: 0.2545 0.8759 0.9428
Y: 0.2945 0.5022 0.3825
Y: 0.4228 0.9811 0.3123
Y: 0.4978 0.7055 0.1175
Y: 0.5022 0.2945 0.8825
Y: 0.5772 0.0189 0.6877
Y: 0.7055 0.4978 0.6175
Y: 0.7455 0.1241 0.0572
Y: 0.8759 0.2545 0.4428
Y: 0.9811 0.4228 0.8123
Er: 0.0173 0.9827 0.2500
Er: 0.9827 0.0173 0.7500
Tm: 0.4057 0.5943 0.7500
Tm: 0.5943 0.4057 0.2500

Values from the calculation:
DFT formation energy   112.1 meV/atom